Record 1
Here is crystalline ScBeZn3 at its relaxed geometry from the Alexandria database. Energies are from PBE.

As for the final energy: -0.055 hartree per atom. The calculation puts the calculated volume at 141.12 Å³ per cell. Its formation enthalpy at 0 K is 1.288 eV per atom.

a = 5.2063 Å, b = 5.2063 Å, c = 5.2063 Å
α = 90.00°, β = 90.00°, γ = 90.00°
Space group Pm-3m (No. 221)
Asymmetric unit:
Sc  0.0000  0.0000  0.0000 x1
Be  0.5000  0.5000  0.5000 x1
Zn  0.0000  0.0000  0.5000 x3

---

Record 2
Here is crystalline ScBe2Zn at its relaxed geometry from the Alexandria database. Energies are from PBE.

As for the final energy: -0.141 hartree per atom. The calculation puts the calculated volume at 113.70 Å³ per cell. Its formation enthalpy at 0 K is -0.062 eV per atom.

a = 6.5495 Å, b = 3.7566 Å, c = 5.0837 Å
α = 90.00°, β = 114.63°, γ = 90.00°
Space group Cm (No. 8)
Asymmetric unit:
Sc  0.0000  0.0000  0.0000 x2
Be  0.0259  0.5000  0.5750 x2
Be  0.2050  0.0000  0.6126 x2
Zn  0.3003  0.5000  0.3962 x2